The following is a PBE-GGA calculation of a relaxed BaZn2W crystal, from Alexandria.

The value obtained for the energy above the most stable polymorph in this dataset is 318 meV per atom. As for the calculated density: 9.1 g cm⁻³.

CIF file:
```
data_BaZn2W
_cell_length_a 5.291
_cell_length_b 5.291
_cell_length_c 2.943
_cell_angle_alpha 90.00
_cell_angle_beta 90.00
_cell_angle_gamma 90.00
_space_group_name_H-M_alt 'P 4/m m m'
_space_group_IT_number 123
_space_group_name_Hall '-P 4 2'
loop_
_atom_site_label
_atom_site_type_symbol
_atom_site_fract_x
_atom_site_fract_y
_atom_site_fract_z
_atom_site_occupancy
Ba1 Ba 0.000 0.000 0.000 1
Zn1 Zn 0.000 0.500 0.500 1
W1 W 0.500 0.500 0.000 1
```

***

The following is a PBE-GGA calculation of a relaxed BaZn2W crystal, from Alexandria.

The value obtained for the energy above the most stable polymorph in this dataset is 115 meV per atom. As for the calculated density: 8.2 g cm⁻³.

CIF file:
```
data_BaZn2W
_cell_length_a 3.104
_cell_length_b 4.271
_cell_length_c 7.056
_cell_angle_alpha 90.00
_cell_angle_beta 101.58
_cell_angle_gamma 90.00
_space_group_name_H-M_alt 'P 1 m 1'
_space_group_IT_number 6
_space_group_name_Hall 'P -2y'
loop_
_atom_site_label
_atom_site_type_symbol
_atom_site_fract_x
_atom_site_fract_y
_atom_site_fract_z
_atom_site_occupancy
Ba1 Ba 0.000 0.000 0.000 1
Zn1 Zn 0.251 0.000 0.462 1
Zn2 Zn 0.354 0.500 0.691 1
W1 W 0.710 0.500 0.380 1
```

***

The following is a PBE-GGA calculation of a relaxed BaZn3W crystal, from Alexandria.

The value obtained for the energy above the most stable polymorph in this dataset is 1625 meV per atom. As for the calculated density: 4.2 g cm⁻³.

CIF file:
```
data_BaZn3W
_cell_length_a 5.889
_cell_length_b 5.889
_cell_length_c 5.889
_cell_angle_alpha 90.00
_cell_angle_beta 90.00
_cell_angle_gamma 90.00
_space_group_name_H-M_alt 'P m -3 m'
_space_group_IT_number 221
_space_group_name_Hall '-P 4 2 3'
loop_
_atom_site_label
_atom_site_type_symbol
_atom_site_fract_x
_atom_site_fract_y
_atom_site_fract_z
_atom_site_occupancy
Ba1 Ba 0.000 0.000 0.000 1
Zn1 Zn 0.000 0.000 0.500 1
W1 W 0.500 0.500 0.500 1
```

***

The following is a PBE-GGA calculation of a relaxed BaZnW3 crystal, from Alexandria.

As for the calculated density: 9.9 g cm⁻³.

CIF file:
```
data_BaZnW3
_cell_length_a 5.017
_cell_length_b 5.017
_cell_length_c 5.017
_cell_angle_alpha 90.00
_cell_angle_beta 90.00
_cell_angle_gamma 90.00
_space_group_name_H-M_alt 'P m -3 m'
_space_group_IT_number 221
_space_group_name_Hall '-P 4 2 3'
loop_
_atom_site_label
_atom_site_type_symbol
_atom_site_fract_x
_atom_site_fract_y
_atom_site_fract_z
_atom_site_occupancy
Ba1 Ba 0.000 0.000 0.000 1
Zn1 Zn 0.500 0.500 0.500 1
W1 W 0.000 0.000 0.500 1
```

***

The following is a PBE-GGA calculation of a relaxed BaZn3W crystal, from Alexandria.

The value obtained for the energy above the most stable polymorph in this dataset is 0 meV per atom. As for the calculated density: 6.7 g cm⁻³.

CIF file:
```
data_BaZn3W
_cell_length_a 5.041
_cell_length_b 5.041
_cell_length_c 5.041
_cell_angle_alpha 90.00
_cell_angle_beta 90.00
_cell_angle_gamma 90.00
_space_group_name_H-M_alt 'P m -3 m'
_space_group_IT_number 221
_space_group_name_Hall '-P 4 2 3'
loop_
_atom_site_label
_atom_site_type_symbol
_atom_site_fract_x
_atom_site_fract_y
_atom_site_fract_z
_atom_site_occupancy
Ba1 Ba 0.000 0.000 0.000 1
Zn1 Zn 0.000 0.500 0.500 1
W1 W 0.500 0.500 0.500 1
```

***

The following is a PBE-GGA calculation of a relaxed BaZn2W crystal, from Alexandria.

The value obtained for the energy above the most stable polymorph in this dataset is 51 meV per atom. As for the calculated density: 9.2 g cm⁻³.

CIF file:
```
data_BaZn2W
_cell_length_a 3.048
_cell_length_b 3.048
_cell_length_c 8.770
_cell_angle_alpha 90.00
_cell_angle_beta 90.00
_cell_angle_gamma 90.00
_space_group_name_H-M_alt 'P 4/m m m'
_space_group_IT_number 123
_space_group_name_Hall '-P 4 2'
loop_
_atom_site_label
_atom_site_type_symbol
_atom_site_fract_x
_atom_site_fract_y
_atom_site_fract_z
_atom_site_occupancy
Ba1 Ba 0.000 0.000 0.000 1
Zn1 Zn 0.500 0.500 0.302 1
W1 W 0.000 0.000 0.500 1
```

***

The following is a PBE-GGA calculation of a relaxed BaZnW2 crystal, from Alexandria.

As for the calculated density: 11.4 g cm⁻³.

CIF file:
```
data_BaZnW2
_cell_length_a 2.811
_cell_length_b 5.196
_cell_length_c 11.339
_cell_angle_alpha 90.00
_cell_angle_beta 90.00
_cell_angle_gamma 90.00
_space_group_name_H-M_alt 'I m m m'
_space_group_IT_number 71
_space_group_name_Hall '-I 2 2'
loop_
_atom_site_label
_atom_site_type_symbol
_atom_site_fract_x
_atom_site_fract_y
_atom_site_fract_z
_atom_site_occupancy
Ba1 Ba 0.000 0.000 0.000 1
Zn1 Zn 0.000 0.000 0.500 1
W1 W 0.000 0.500 0.216 1
```

***

The following is a PBE-GGA calculation of a relaxed BaZn2W crystal, from Alexandria.

The value obtained for the energy above the most stable polymorph in this dataset is 346 meV per atom. As for the calculated density: 8.8 g cm⁻³.

CIF file:
```
data_BaZn2W
_cell_length_a 2.949
_cell_length_b 5.468
_cell_length_c 10.532
_cell_angle_alpha 90.00
_cell_angle_beta 90.00
_cell_angle_gamma 90.00
_space_group_name_H-M_alt 'I m m 2'
_space_group_IT_number 44
_space_group_name_Hall 'I 2 -2'
loop_
_atom_site_label
_atom_site_type_symbol
_atom_site_fract_x
_atom_site_fract_y
_atom_site_fract_z
_atom_site_occupancy
Ba1 Ba 0.000 0.000 0.000 1
Zn1 Zn 0.000 0.000 0.499 1
Zn2 Zn 0.000 0.500 0.219 1
W1 W 0.000 0.500 0.784 1
```

***

The following is a PBE-GGA calculation of a relaxed BaZnW2 crystal, from Alexandria.

As for the calculated density: 11.7 g cm⁻³.

CIF file:
```
data_BaZnW2
_cell_length_a 2.9515
_cell_length_b 2.9515
_cell_length_c 32.2816
_cell_angle_alpha 90.00
_cell_angle_beta 90.00
_cell_angle_gamma 120.00
_space_group_name_H-M_alt 'R -3 m'
_space_group_IT_number 166
_space_group_name_Hall '-R 3 2"'
loop_
_atom_site_label
_atom_site_type_symbol
_atom_site_fract_x
_atom_site_fract_y
_atom_site_fract_z
_atom_site_occupancy
Ba1 Ba 0.0000 0.0000 0.0000 1
Zn1 Zn 0.0000 0.0000 0.5000 1
W1 W 0.0000 0.0000 0.2356 1
```

***

The following is a PBE-GGA calculation of a relaxed Ba2ZrW crystal, from Alexandria.

The value obtained for the energy above the most stable polymorph in this dataset is 555 meV per atom. As for the calculated density: 4.7 g cm⁻³.

CIF file:
```
data_Ba2ZrW
_cell_length_a 12.421
_cell_length_b 12.421
_cell_length_c 4.983
_cell_angle_alpha 90.00
_cell_angle_beta 90.00
_cell_angle_gamma 90.00
_space_group_name_H-M_alt 'I -4 2 d'
_space_group_IT_number 122
_space_group_name_Hall 'I -4 2bw'
loop_
_atom_site_label
_atom_site_type_symbol
_atom_site_fract_x
_atom_site_fract_y
_atom_site_fract_z
_atom_site_occupancy
Ba1 Ba 0.067 0.250 0.125 1
Zr1 Zr 0.000 0.000 0.500 1
W1 W 0.000 0.000 0.000 1
```

***

The following is a PBE-GGA calculation of a relaxed Ba2ZrW crystal, from Alexandria.

The value obtained for the energy above the most stable polymorph in this dataset is 0 meV per atom. As for the calculated density: 6.6 g cm⁻³.

CIF file:
```
data_Ba2ZrW
_cell_length_a 3.757
_cell_length_b 3.757
_cell_length_c 9.843
_cell_angle_alpha 90.00
_cell_angle_beta 90.00
_cell_angle_gamma 90.00
_space_group_name_H-M_alt 'P 4 m m'
_space_group_IT_number 99
_space_group_name_Hall 'P 4 -2'
loop_
_atom_site_label
_atom_site_type_symbol
_atom_site_fract_x
_atom_site_fract_y
_atom_site_fract_z
_atom_site_occupancy
Ba1 Ba 0.000 0.000 0.000 1
Ba2 Ba 0.500 0.500 0.398 1
Zr1 Zr 0.500 0.500 0.743 1
W1 W 0.000 0.000 0.641 1
```

***

The following is a PBE-GGA calculation of a relaxed BaZrW2 crystal, from Alexandria.

The value obtained for the energy above the most stable polymorph in this dataset is 660 meV per atom. As for the calculated density: 11.7 g cm⁻³.

CIF file:
```
data_BaZrW2
_cell_length_a 4.935
_cell_length_b 4.935
_cell_length_c 6.972
_cell_angle_alpha 90.00
_cell_angle_beta 90.00
_cell_angle_gamma 90.00
_space_group_name_H-M_alt 'I -4 m 2'
_space_group_IT_number 119
_space_group_name_Hall 'I -4 -2'
loop_
_atom_site_label
_atom_site_type_symbol
_atom_site_fract_x
_atom_site_fract_y
_atom_site_fract_z
_atom_site_occupancy
Ba1 Ba 0.000 0.000 0.000 1
Zr1 Zr 0.000 0.500 0.750 1
W1 W 0.000 0.000 0.500 1
W2 W 0.000 0.500 0.250 1
```

***

no.,formation enthalpy at 0 K (meV per atom),VASP energy (eV/atom)
1,792.6,-3.5633
2,589.1,-3.7668
3,2049.4,-1.6902
4,3842.2,-4.5690
5,424.2,-3.3153
6,525.6,-3.8303
7,1072.9,-6.2029
8,820.1,-3.5359
9,1216.0,-6.0597
10,1177.8,-5.1589
11,622.4,-5.7143
12,1226.3,-7.8680